[1]
Here is a relaxed structure of AgPdSO from the Open Quantum Materials Database. Energies are from PBE-GGA.

Structure (extended XYZ):
```
8
Lattice="3.674 0.000 0.000 0.000 3.674 0.000 0.000 0.000 9.560" Properties=species:S:1:pos:R:3 pbc="T T T"
Ag 0.919 0.919 1.144
Ag 2.756 2.756 8.416
Pd 0.919 0.919 6.030
Pd 2.756 2.756 3.530
S 0.919 0.919 3.587
S 2.756 2.756 5.974
O 0.919 2.756 0.000
O 2.756 0.919 0.000
```

E, eV/cell: -32.4
Polymorph energy (0 for the lowest one), meV/atom: 401
Mass density, g/cm³: 6.751

[2]
Here is a relaxed structure of NaPaPO from the Open Quantum Materials Database. Energies are from PBE-GGA.

Structure (extended XYZ):
```
8
Lattice="5.571 0.000 0.000 0.000 5.571 0.000 0.000 0.000 4.792" Properties=species:S:1:pos:R:3 pbc="T T T"
Na 1.393 1.393 0.013
Na 4.179 4.179 4.778
Pa 1.393 4.179 2.396
Pa 4.179 1.393 2.396
P 1.393 1.393 2.410
P 4.179 4.179 2.382
O 1.393 4.179 0.000
O 4.179 1.393 0.000
```

E, eV/cell: -50.3
Polymorph energy (0 for the lowest one), meV/atom: 274
Magnetic moment, μB per cell: 0.99
Mass density, g/cm³: 6.721

[3]
Here is a relaxed structure of ReAs2Au from the Open Quantum Materials Database. Energies are from PBE-GGA.

Structure (extended XYZ):
```
4
Lattice="0.000 3.247 3.247 3.247 0.000 3.247 3.247 3.247 0.000" Properties=species:S:1:pos:R:3 pbc="T T T"
Re 0.000 0.000 0.000
As 3.247 3.247 3.247
As 4.870 4.870 4.870
Au 1.623 1.623 1.623
```

E, eV/cell: -21.6
Magnetic moment, μB per cell: 0.00
Mass density, g/cm³: 12.928

[4]
Here is a relaxed structure of KThTlSe3 from the Open Quantum Materials Database. Energies are from PBE-GGA.

Structure (extended XYZ):
```
12
Lattice="2.165 -8.202 0.000 2.165 8.202 0.000 0.000 0.000 12.267" Properties=species:S:1:pos:R:3 pbc="T T T"
K 2.165 5.565 9.200
K 2.165 -5.565 3.067
Th 2.165 0.000 0.000
Th 2.165 0.000 6.133
Tl 2.165 5.945 3.067
Tl 2.165 -5.945 9.200
Se 2.165 6.280 6.174
Se 2.165 6.280 12.226
Se 2.165 0.099 9.200
Se 2.165 -0.099 3.067
Se 2.165 -6.280 0.040
Se 2.165 -6.280 6.093
```

E, eV/cell: -57.8
Magnetic moment, μB per cell: 0.01
Mass density, g/cm³: 5.431

[5]
Here is a relaxed structure of SrMg2GaPt from the Open Quantum Materials Database. Energies are from PBE-GGA.

Structure (extended XYZ):
```
5
Lattice="-2.221 2.221 5.931 2.221 -2.221 5.931 2.221 2.221 -5.931" Properties=species:S:1:pos:R:3 pbc="T T T"
Sr 0.000 0.000 0.000
Mg 2.221 0.000 2.849
Mg 0.000 2.221 2.849
Ga 0.000 0.000 4.678
Pt 0.000 0.000 7.197
```

E, eV/cell: -16.8
Magnetic moment, μB per cell: 0.00
Mass density, g/cm³: 5.691

[6]
Here is a relaxed structure of NaTbPO from the Open Quantum Materials Database. Energies are from PBE-GGA.

Structure (extended XYZ):
```
8
Lattice="3.871 0.000 0.000 0.000 3.871 0.000 0.000 0.000 10.093" Properties=species:S:1:pos:R:3 pbc="T T T"
Na 0.968 2.903 0.000
Na 2.903 0.968 0.000
Tb 0.968 0.968 3.911
Tb 2.903 2.903 6.182
P 0.968 0.968 8.000
P 2.903 2.903 2.093
O 0.968 2.903 5.047
O 2.903 0.968 5.047
```

E, eV/cell: -45.5
Polymorph energy (0 for the lowest one), meV/atom: 20
Magnetic moment, μB per cell: 0.00
Mass density, g/cm³: 5.026

[7]
Here is a relaxed structure of Ta2GaMo from the Open Quantum Materials Database. Energies are from PBE-GGA.

Structure (extended XYZ):
```
4
Lattice="0.000 3.226 3.226 3.226 0.000 3.226 3.226 3.226 0.000" Properties=species:S:1:pos:R:3 pbc="T T T"
Ta 0.000 0.000 0.000
Ta 1.613 1.613 1.613
Ga 3.226 3.226 3.226
Mo 4.838 4.838 4.838
```

E, eV/cell: -37.3
Magnetic moment, μB per cell: 0.13
Mass density, g/cm³: 13.052

[8]
Here is a relaxed structure of NaGdPb from the Open Quantum Materials Database. Energies are from PBE-GGA.

Structure (extended XYZ):
```
3
Lattice="0.000 3.671 3.671 3.671 0.000 3.671 3.671 3.671 0.000" Properties=species:S:1:pos:R:3 pbc="T T T"
Na 0.000 0.000 0.000
Gd 3.671 3.671 3.671
Pb 5.507 5.507 5.507
```

E, eV/cell: -10.3
Polymorph energy (0 for the lowest one), meV/atom: 32
Magnetic moment, μB per cell: 0.00
Mass density, g/cm³: 6.501

[9]
Here is a relaxed structure of GdEr2Cd from the Open Quantum Materials Database. Energies are from PBE-GGA.

Structure (extended XYZ):
```
8
Lattice="5.498 0.000 0.000 0.000 3.574 5.789 0.000 -3.574 5.789" Properties=species:S:1:pos:R:3 pbc="T T T"
Gd 0.000 0.000 0.000
Gd 2.749 0.000 3.623
Er 0.000 0.000 5.811
Er 2.749 -1.794 6.579
Er 2.749 0.000 9.433
Er 2.749 1.794 6.579
Cd 0.000 -1.740 8.608
Cd 0.000 1.740 8.608
```

E, eV/cell: -29.8
Polymorph energy (0 for the lowest one), meV/atom: 52
Magnetic moment, μB per cell: 0.01
ΔH_f (0 K), kJ per mole of atoms: -5.4
Mass density, g/cm³: 8.820

[10]
Here is a relaxed structure of KBeReOs from the Open Quantum Materials Database. Energies are from PBE-GGA.

Structure (extended XYZ):
```
4
Lattice="0.000 3.126 3.126 3.126 0.000 3.126 3.126 3.126 0.000" Properties=species:S:1:pos:R:3 pbc="T T T"
K 0.000 0.000 0.000
Be 3.126 3.126 3.126
Re 4.689 4.689 4.689
Os 1.563 1.563 1.563
```

E, eV/cell: -20.1
Polymorph energy (0 for the lowest one), meV/atom: 763
Magnetic moment, μB per cell: 1.21
Mass density, g/cm³: 11.539

[11]
Here is a relaxed structure of ReAsOsO from the Open Quantum Materials Database. Energies are from PBE-GGA.

Structure (extended XYZ):
```
8
Lattice="3.749 0.000 0.000 0.000 5.678 0.000 0.000 0.000 5.266" Properties=species:S:1:pos:R:3 pbc="T T T"
Re 0.000 1.209 0.000
Re 0.000 4.469 2.633
As 0.000 1.439 2.440
As 0.000 4.239 5.073
Os 1.875 2.468 3.682
Os 1.875 3.210 1.049
O 1.875 0.716 4.833
O 1.875 4.962 2.200
```

E, eV/cell: -67.0
Polymorph energy (0 for the lowest one), meV/atom: 0
Magnetic moment, μB per cell: 0.01
Mass density, g/cm³: 13.847

[12]
Here is a relaxed structure of Lu3FeCN from the Open Quantum Materials Database. Energies are from PBE-GGA.

Structure (extended XYZ):
```
12
Lattice="3.377 0.000 0.000 -1.689 2.925 0.000 0.000 0.000 19.781" Properties=species:S:1:pos:R:3 pbc="T T T"
Lu 0.000 0.000 0.000
Lu 0.000 0.000 9.891
Lu 0.000 1.950 2.703
Lu 0.000 1.950 7.132
Lu 1.689 0.975 12.649
Lu 1.689 0.975 17.078
Fe 0.000 0.000 4.851
Fe 0.000 0.000 14.931
C 0.000 1.950 11.406
C 1.689 0.975 8.375
N 0.000 1.950 18.399
N 1.689 0.975 1.382
```

E, eV/cell: -85.3
Magnetic moment, μB per cell: 4.01
Mass density, g/cm³: 10.312